1.
A crystal of TcAs2Br relaxed with PBEsol, computed with SCAN.

abc: 3.057 3.057 8.149
angles: 90.00 90.00 90.00
Fractional positions:
Tc  0.000  0.000  0.000
As  0.500  0.500  0.178
As  0.500  0.500  0.822
Br  0.000  0.000  0.500

The value obtained for the formation energy without anion corrections is -39 meV/atom. The value obtained for the excess energy over the best structure of this formula in the dataset is 0 kJ/mol of formula units. The density of states at the Fermi level comes out at 2.17 states/eV per cell. The symmetry is P4/mmm (123). The crystal system is tetragonal.

***

2.
A crystal of CdHgRu relaxed with PBEsol, computed with SCAN.

abc: 6.259 6.259 6.259
angles: 90.00 90.00 90.00
Fractional positions:
Cd  0.000  0.000  0.000
Cd  0.000  0.500  0.500
Cd  0.500  0.000  0.500
Cd  0.500  0.500  0.000
Hg  0.250  0.250  0.250
Hg  0.250  0.750  0.750
Hg  0.750  0.250  0.750
Hg  0.750  0.750  0.250
Ru  0.000  0.000  0.500
Ru  0.000  0.500  0.000
Ru  0.500  0.000  0.000
Ru  0.500  0.500  0.500

As for the formation energy: 0.805 eV per atom. The value obtained for the excess energy over the best structure of this formula in the dataset is 118 kJ/mol of formula units. The density of states at the Fermi level comes out at 4.36 states/eV per cell. The symmetry is F-43m (216). The crystal system is cubic.

***

3.
A crystal of MnCu3O relaxed with PBEsol, computed with SCAN.

abc: 4.372 4.372 4.372
angles: 90.00 90.00 90.00
Fractional positions:
Mn  0.000  0.000  0.000
Cu  0.000  0.000  0.500
Cu  0.000  0.500  0.000
Cu  0.500  0.000  0.000
O  0.500  0.500  0.500

The value obtained for the formation energy without anion corrections is 1505 meV/atom. The density of states at the Fermi level comes out at 2.60 states/eV per cell. The symmetry is Pm-3m (221). The crystal system is cubic.

***

4.
A crystal of BeCr2Cd relaxed with PBEsol, computed with SCAN.

abc: 3.832 3.832 7.279
angles: 90.00 90.00 90.00
Fractional positions:
Be  0.000  0.000  0.000
Be  0.500  0.500  0.500
Cr  0.000  0.000  0.500
Cr  0.000  0.500  0.750
Cr  0.500  0.000  0.250
Cr  0.500  0.500  0.000
Cd  0.000  0.500  0.250
Cd  0.500  0.000  0.750

As for the formation energy: 0.247 eV per atom. The value obtained for the excess energy over the best structure of this formula in the dataset is 0 kJ/mol of formula units. The density of states at the Fermi level comes out at 3.79 states/eV per cell. The symmetry is I-4m2 (119). The crystal system is tetragonal.

***

5.
A crystal of TeAu2Br relaxed with PBEsol, computed with SCAN.

abc: 3.075 5.004 5.500
angles: 90.00 90.00 90.00
Fractional positions:
Te  0.000  0.000  0.000
Au  0.000  0.500  0.500
Au  0.500  0.000  0.500
Br  0.500  0.500  0.000

The value obtained for the formation energy without anion corrections is 432 meV/atom. The value obtained for the excess energy over the best structure of this formula in the dataset is 177 kJ/mol of formula units. The density of states at the Fermi level comes out at 1.77 states/eV per cell. The symmetry is Pmmm (47). The crystal system is orthorhombic.

***

6.
A crystal of TiFeSCl2 relaxed with PBEsol, computed with SCAN.

abc: 4.639 4.639 4.748
angles: 90.00 90.00 90.00
Fractional positions:
Ti  0.000  0.000  0.000
Fe  0.500  0.500  0.500
S  0.000  0.000  0.500
Cl  0.000  0.500  0.000
Cl  0.500  0.000  0.000

The value obtained for the formation energy without anion corrections is -507 meV/atom. The density of states at the Fermi level comes out at 5.57 states/eV per cell. The symmetry is P4/mmm (123). The crystal system is tetragonal.

***

7.
A crystal of GaBi2Se relaxed with PBEsol, computed with SCAN.

abc: 5.999 5.999 15.087
angles: 90.00 90.00 90.00
Fractional positions:
Ga  0.000  0.000  0.000
Ga  0.000  0.500  0.250
Ga  0.500  0.000  0.750
Ga  0.500  0.500  0.500
Bi  0.239  0.250  0.125
Bi  0.250  0.739  0.375
Bi  0.250  0.761  0.875
Bi  0.261  0.250  0.625
Bi  0.739  0.750  0.625
Bi  0.750  0.239  0.875
Bi  0.750  0.261  0.375
Bi  0.761  0.750  0.125
Se  0.000  0.000  0.500
Se  0.000  0.500  0.750
Se  0.500  0.000  0.250
Se  0.500  0.500  0.000

The value obtained for the formation energy without anion corrections is 198 meV/atom. The density of states at the Fermi level comes out at 6.52 states/eV per cell. The symmetry is I-42d (122). The crystal system is tetragonal.

***

8.
A crystal of CrOs3 relaxed with PBEsol, computed with SCAN.

abc: 8.836 2.683 4.616
angles: 90.00 100.26 90.00
Fractional positions:
Cr  0.000  0.000  0.000
Cr  0.500  0.500  0.000
Os  0.000  0.500  0.500
Os  0.248  0.500  0.244
Os  0.252  0.000  0.756
Os  0.500  0.000  0.500
Os  0.748  0.000  0.244
Os  0.752  0.500  0.756

As for the formation energy: 0.098 eV per atom. The density of states at the Fermi level comes out at 7.17 states/eV per cell. The symmetry is C2/m (12). The crystal system is monoclinic.

***

9.
A crystal of Ag2Br relaxed with PBEsol, computed with SCAN.

abc: 12.879 3.820 6.035
angles: 90.00 113.62 90.00
Fractional positions:
Ag  0.072  0.000  0.241
Ag  0.097  0.500  0.936
Ag  0.403  0.000  0.064
Ag  0.428  0.500  0.759
Ag  0.572  0.500  0.241
Ag  0.597  0.000  0.936
Ag  0.903  0.500  0.064
Ag  0.928  0.000  0.759
Br  0.178  0.000  0.705
Br  0.322  0.500  0.295
Br  0.678  0.500  0.705
Br  0.822  0.000  0.295

The value obtained for the formation energy without anion corrections is -174 meV/atom. The value obtained for the excess energy over the best structure of this formula in the dataset is 5 kJ/mol of formula units. The symmetry is C2/m (12). The crystal system is monoclinic.

***

10.
A crystal of TlNiF3 relaxed with PBEsol, computed with SCAN.

abc: 4.059 4.059 4.059
angles: 90.00 90.00 90.00
Fractional positions:
Tl  0.000  0.000  0.000
Ni  0.500  0.500  0.500
F  0.000  0.500  0.500
F  0.500  0.000  0.500
F  0.500  0.500  0.000

The value obtained for the formation energy without anion corrections is -2131 meV/atom. The density of states at the Fermi level comes out at 0.00 states/eV per cell. The symmetry is Pm-3m (221). The crystal system is cubic.

***

11.
A crystal of La3Tl relaxed with PBEsol, computed with SCAN.

abc: 3.933 5.634 11.553
angles: 90.00 90.00 90.00
Fractional positions:
La  0.000  0.000  0.000
La  0.000  0.500  0.230
La  0.000  0.500  0.770
La  0.500  0.000  0.270
La  0.500  0.000  0.730
La  0.500  0.500  0.500
Tl  0.000  0.000  0.500
Tl  0.500  0.500  0.000

As for the formation energy: -0.314 eV per atom. The value obtained for the excess energy over the best structure of this formula in the dataset is 28 kJ/mol of formula units. The density of states at the Fermi level comes out at 9.12 states/eV per cell. The symmetry is Immm (71). The crystal system is orthorhombic.

***

12.
A crystal of CaReSb2 relaxed with PBEsol, computed with SCAN.

abc: 6.987 6.987 6.987
angles: 90.00 90.00 90.00
Fractional positions:
Ca  0.000  0.000  0.000
Ca  0.000  0.500  0.500
Ca  0.500  0.000  0.500
Ca  0.500  0.500  0.000
Re  0.250  0.250  0.750
Re  0.250  0.750  0.250
Re  0.750  0.250  0.250
Re  0.750  0.750  0.750
Sb  0.000  0.000  0.500
Sb  0.000  0.500  0.000
Sb  0.250  0.250  0.250
Sb  0.250  0.750  0.750
Sb  0.500  0.000  0.000
Sb  0.500  0.500  0.500
Sb  0.750  0.250  0.750
Sb  0.750  0.750  0.250

The value obtained for the formation energy without anion corrections is 620 meV/atom. The value obtained for the excess energy over the best structure of this formula in the dataset is 147 kJ/mol of formula units. The density of states at the Fermi level comes out at 18.64 states/eV per cell. The symmetry is F-43m (216). The crystal system is cubic.